# Dy2CrSbO8

A relaxed structure of Dy2CrSbO8 (PBE with a Hubbard U, Alexandria via LeMat-Bulk).

Unit cell a=6.8362 b=7.0999 c=6.4709 alpha=90.00 beta=90.02 gamma=90.00
Last column: nearest neighbours and their distance in Å.
Space group C2/m (No. 12)
One atom of each set of equivalent atoms:
Dy  0.0023  0.0000  0.2518  6 O 2.18-2.29
Cr  0.0000  0.5000  0.5000  2 O 1.78
Sb  0.0000  0.5000  0.0000  6 O 1.97-2.07
O  0.0013  0.3220  0.7460  1 Cr 2.03, 1 Sb 2.07
O  0.2115  0.0000  0.9982  1 Sb 1.97, 2 Dy 2.18
O  0.2390  0.0000  0.5019  1 Cr 1.78

Electronic total energy ... -173.62 eV per cell
Total moment ... 1.971 μB per cell